# 1
VASP calculation (PBE) on Ni2H2W after structural relaxation.

abc: 6.0283 6.0283 2.6452
angles: 90.00 90.00 90.00
Last column: nearest neighbours and their distance in Å.
Positions (direct):
W 0.5000 0.5000 0.0000  4 H 2.14
Ni 0.1589 0.6589 0.5000  2 H 1.63
Ni 0.8411 0.3411 0.5000  2 H 1.63
H 0.2292 0.2708 0.0000  2 Ni 1.63
W 0.0000 0.0000 0.0000  4 H 2.14
Ni 0.6589 0.8411 0.5000  2 H 1.63
H 0.7292 0.2292 0.0000  2 Ni 1.63
H 0.7708 0.7292 0.0000  2 Ni 1.63
Ni 0.3411 0.1589 0.5000  2 H 1.63
H 0.2708 0.7708 0.0000  2 Ni 1.63

Output
SG ... No. 127
Final energy ... -5.90 eV/atom

---

# 2
VASP calculation (PBE) on Cr2AgSe4 after structural relaxation.

abc: 7.5740 7.5740 7.5776
angles: 60.00 60.00 90.00
Last column: nearest neighbours and their distance in Å.
Positions (direct):
Se 0.2925 0.7643 0.4714  3 Cr 2.54, 1 Ag 2.58
Se 0.7075 0.2357 0.5286  3 Cr 2.54, 1 Ag 2.58
Se 0.7357 0.7640 0.0285  3 Cr 2.54, 1 Ag 2.58
Se 0.2643 0.7925 0.9714  3 Cr 2.54, 1 Ag 2.58
Se 0.2640 0.2357 0.5285  3 Cr 2.54, 1 Ag 2.58
Se 0.7360 0.7643 0.4715  3 Cr 2.54, 1 Ag 2.58
Se 0.2643 0.2360 0.9715  3 Cr 2.54, 1 Ag 2.58
Ag 0.8749 0.6251 0.7500  4 Se 2.58
Se 0.7357 0.2075 0.0286  3 Cr 2.54, 1 Ag 2.58
Cr 0.5000 0.0000 0.5000  6 Se 2.54
Ag 0.1251 0.3749 0.2500  4 Se 2.58
Cr 0.0000 0.0000 0.0000  6 Se 2.54
Cr 0.5000 0.5000 0.5000  6 Se 2.54
Cr 0.5000 0.0000 0.0000  6 Se 2.54

Output
Energy relative to the elements, uncorrected ... -436 meV per atom
SG ... No. 227